No. 1
Zn2RuF: relaxed, PBE.

Structure (POSCAR):
```
Zn2RuF
1.0
-3.2358 3.2358 2.7182
3.2358 -3.2358 2.7182
3.2358 3.2358 -2.7182
Zn Ru F
4 2 2
Direct
0.0803 0.6250 0.9553 Zn
0.3750 0.3303 0.4553 Zn
0.6697 0.1250 0.0447 Zn
0.8750 0.9197 0.5447 Zn
0.2500 0.7500 0.5000 Ru
0.5000 0.5000 0.0000 Ru
0.0000 0.0000 0.0000 F
0.7500 0.2500 0.5000 F
```

Properties
Density of states at the Fermi level (states/eV/atom): 0.734
SG: I-42d (122)
Energy relative to the elements, uncorrected (meV/atom): -216



No. 2
Zn3RuF: relaxed, PBE.

Structure (POSCAR):
```
Zn3RuF
1.0
4.1597 0.0000 0.0000
0.0000 4.1597 0.0000
0.0000 0.0000 4.1597
Zn Ru F
3 1 1
Direct
0.0000 0.0000 0.5000 Zn
0.0000 0.5000 0.0000 Zn
0.5000 0.0000 0.0000 Zn
0.5000 0.5000 0.5000 Ru
0.0000 0.0000 0.0000 F
```

Properties
Density of states at the Fermi level (states/eV/atom): 0.591
SG: Pm-3m (221)
Energy relative to the elements, uncorrected (meV/atom): -82



No. 3
Zn2RuF2: relaxed, PBE.

Structure (POSCAR):
```
Zn2RuF2
1.0
6.8778 0.0000 0.0000
0.0000 6.8778 0.0000
0.0000 0.0000 2.7384
Zn Ru F
4 2 4
Direct
0.1937 0.3063 0.0000 Zn
0.3063 0.8063 0.0000 Zn
0.6937 0.1937 0.0000 Zn
0.8063 0.6937 0.0000 Zn
0.0000 0.0000 0.5000 Ru
0.5000 0.5000 0.5000 Ru
0.1254 0.6254 0.5000 F
0.3746 0.1254 0.5000 F
0.6254 0.8746 0.5000 F
0.8746 0.3746 0.5000 F
```

Properties
Density of states at the Fermi level (states/eV/atom): 0.408
SG: P4/mbm (127)
Energy relative to the elements, uncorrected (meV/atom): -538



No. 4
ZnRu2F: relaxed, PBE.

Structure (POSCAR):
```
ZnRu2F
1.0
-3.5113 3.5113 2.3095
3.5113 -3.5113 2.3095
3.5113 3.5113 -2.3095
Zn Ru F
2 4 2
Direct
0.0000 0.0000 0.0000 Zn
0.7500 0.2500 0.5000 Zn
0.1789 0.6250 0.0539 Ru
0.3750 0.4289 0.5539 Ru
0.5711 0.1250 0.9461 Ru
0.8750 0.8211 0.4461 Ru
0.2500 0.7500 0.5000 F
0.5000 0.5000 0.0000 F
```

Properties
Density of states at the Fermi level (states/eV/atom): 1.066
SG: I-42d (122)
Energy relative to the elements, uncorrected (meV/atom): 353



no.,relative energy among the computed polymorphs (eV/atom)
1,0.000
2,0.000
3,0.000
4,0.000